(1)
The following is a PBE calculation of a relaxed MnTl2NiRh crystal, from Alexandria.

Cell lengths 4.868, 4.868, 4.534 Å; angles 90.00, 90.00, 90.00 degrees
Fractional positions:
1 Mn 0.000 0.000 0.000
2 Tl 0.000 0.500 0.500
3 Tl 0.500 0.000 0.500
4 Ni 0.000 0.000 0.500
5 Rh 0.500 0.500 0.000

As for the formation energy: 0.741 eV/atom.

=====

(2)
The following is a PBE calculation of a relaxed MnVNiRh crystal, from Alexandria.

Cell lengths 4.215, 4.215, 4.215 Å; angles 60.00, 60.00, 60.00 degrees
Fractional positions:
1 Mn 0.000 0.000 0.000
2 V 0.500 0.500 0.500
3 Ni 0.250 0.250 0.250
4 Rh 0.750 0.750 0.750

As for the formation energy: -0.106 eV/atom.

=====

(3)
The following is a PBE calculation of a relaxed MnNi2RhW crystal, from Alexandria.

Cell lengths 4.443, 4.443, 4.603 Å; angles 90.00, 90.00, 90.00 degrees
Fractional positions:
1 Mn 0.000 0.000 0.000
2 Ni 0.000 0.500 0.500
3 Ni 0.500 0.000 0.500
4 Rh 0.500 0.500 0.500
5 W 0.500 0.500 0.000

As for the formation energy: 1.910 eV/atom.

=====

(4)
The following is a PBE calculation of a relaxed YMnNiRh crystal, from Alexandria.

Cell lengths 4.556, 4.556, 4.556 Å; angles 60.00, 60.00, 60.00 degrees
Fractional positions:
1 Y 0.000 0.000 0.000
2 Mn 0.500 0.500 0.500
3 Ni 0.750 0.750 0.750
4 Rh 0.250 0.250 0.250

As for the formation energy: -0.271 eV/atom.

=====

(5)
The following is a PBE calculation of a relaxed Y2MnNiRh crystal, from Alexandria.

Cell lengths 5.249, 5.249, 4.721 Å; angles 90.00, 90.00, 90.00 degrees
Fractional positions:
1 Y 0.000 0.500 0.000
2 Y 0.500 0.000 0.000
3 Mn 0.000 0.000 0.500
4 Ni 0.500 0.500 0.500
5 Rh 0.000 0.000 0.000

As for the formation energy: 0.313 eV/atom.

=====

(6)
The following is a PBE calculation of a relaxed YMnNi2Rh crystal, from Alexandria.

Cell lengths 4.354, 4.354, 4.487 Å; angles 90.00, 90.00, 90.00 degrees
Fractional positions:
1 Y 0.000 0.000 0.000
2 Mn 0.500 0.500 0.500
3 Ni 0.000 0.500 0.500
4 Ni 0.500 0.000 0.500
5 Rh 0.500 0.500 0.000

As for the formation energy: 0.275 eV/atom.

=====

(7)
The following is a PBE calculation of a relaxed ZrMnNiRh crystal, from Alexandria.

Cell lengths 4.444, 4.444, 4.444 Å; angles 60.00, 60.00, 60.00 degrees
Fractional positions:
1 Zr 0.000 0.000 0.000
2 Mn 0.500 0.500 0.500
3 Ni 0.250 0.250 0.250
4 Rh 0.750 0.750 0.750

As for the formation energy: -0.355 eV/atom.

=====

(8)
The following is a PBE calculation of a relaxed MnNiRu2 crystal, from Alexandria.

Cell lengths 4.008, 4.975, 4.975 Å; angles 30.60, 90.00, 90.00 degrees
Fractional positions:
1 Mn 0.000 0.000 0.000
2 Ni 0.500 0.133 0.133
3 Ru 0.000 0.737 0.737
4 Ru 0.500 0.396 0.396

As for the formation energy: 0.109 eV/atom.

=====

(9)
The following is a PBE calculation of a relaxed MnNiRu4 crystal, from Alexandria.

Cell lengths 5.046, 5.046, 5.046 Å; angles 60.00, 60.00, 60.00 degrees
Fractional positions:
1 Mn 0.000 0.000 0.000
2 Ni 0.750 0.750 0.750
3 Ru 0.375 0.375 0.375
4 Ru 0.375 0.375 0.874
5 Ru 0.375 0.874 0.375
6 Ru 0.874 0.375 0.375

As for the formation energy: 0.603 eV/atom.

=====

(10)
The following is a PBE calculation of a relaxed MnNi3Ru crystal, from Alexandria.

Cell lengths 4.161, 4.161, 4.161 Å; angles 90.00, 90.00, 90.00 degrees
Fractional positions:
1 Mn 0.000 0.000 0.000
2 Ni 0.000 0.000 0.500
3 Ni 0.000 0.500 0.000
4 Ni 0.500 0.000 0.000
5 Ru 0.500 0.500 0.500

As for the formation energy: 1.324 eV/atom. The energy above the lowest structure with this stoichiometry comes out at 0.0 meV per atom.

=====

(11)
The following is a PBE calculation of a relaxed MnNiRu2 crystal, from Alexandria.

Cell lengths 4.230, 4.230, 4.230 Å; angles 60.00, 60.00, 60.00 degrees
Fractional positions:
1 Mn 0.000 0.000 0.000
2 Ni 0.250 0.250 0.250
3 Ru 0.500 0.500 0.500
4 Ru 0.750 0.750 0.750

As for the formation energy: 0.272 eV/atom.

=====

(12)
The following is a PBE calculation of a relaxed MnNiRu2 crystal, from Alexandria.

Cell lengths 4.484, 4.484, 2.662 Å; angles 90.00, 90.00, 107.39 degrees
Fractional positions:
1 Mn 0.000 0.000 0.000
2 Ni 0.500 0.500 0.000
3 Ru 0.000 0.500 0.500
4 Ru 0.500 0.000 0.500

As for the formation energy: 0.116 eV/atom.